# PBE SrCaHg6, optimized geometry
# energy of formation: -0.40 eV/atom
data_SrCaHg6
_space_group_name_H-M_alt 'A m m 2'
_space_group_IT_number 38
_cell_length_a 5.300
_cell_length_b 6.833
_cell_length_c 11.786
_cell_angle_alpha 90.00
_cell_angle_beta 90.00
_cell_angle_gamma 90.00
loop_
_space_group_symop_operation_xyz
'x,y,z'
'-x,-y,z'
'-x,y,z'
'x,-y,z'
'x,y+1/2,z+1/2'
'-x,-y+1/2,z+1/2'
'-x,y+1/2,z+1/2'
'x,-y+1/2,z+1/2'
loop_
_atom_site_label
_atom_site_fract_x
_atom_site_fract_y
_atom_site_fract_z
_atom_site_occupancy
Sr1 0.000 0.000 0.000 1
Ca1 0.500 0.000 0.670 1
Hg1 0.000 0.000 0.500 1
Hg2 0.000 0.245 0.252 1
Hg3 0.500 0.000 0.175 1
Hg4 0.500 0.237 0.415 1

***

# PBE Sr2CaHg, optimized geometry
# energy of formation: -0.10 eV/atom
data_Sr2CaHg
_space_group_name_H-M_alt 'I -4 m 2'
_space_group_IT_number 119
_space_group_name_Hall 'I -4 -2'
_cell_length_a 5.208
_cell_length_b 5.208
_cell_length_c 11.572
_cell_angle_alpha 90.00
_cell_angle_beta 90.00
_cell_angle_gamma 90.00
loop_
_atom_site_label
_atom_site_fract_x
_atom_site_fract_y
_atom_site_fract_z
_atom_site_occupancy
Sr1 0.000 0.000 0.000 1
Sr2 0.000 0.500 0.250 1
Ca1 0.000 0.500 0.750 1
Hg1 0.000 0.000 0.500 1

***

# PBE SrCa4Hg2, optimized geometry
# energy of formation: -0.20 eV/atom
data_SrCa4Hg2
_space_group_name_H-M_alt 'R -3 m'
_space_group_IT_number 166
_space_group_name_Hall '-R 3 2"'
_cell_length_a 5.4989
_cell_length_b 5.4989
_cell_length_c 31.4399
_cell_angle_alpha 90.00
_cell_angle_beta 90.00
_cell_angle_gamma 120.00
loop_
_atom_site_label
_atom_site_fract_x
_atom_site_fract_y
_atom_site_fract_z
_atom_site_occupancy
Sr1 0.0000 0.0000 0.0000 1
Ca1 0.0000 0.0000 0.2006 1
Ca2 0.0000 0.0000 0.4134 1
Hg1 0.0000 0.0000 0.1021 1

***

# PBE Sr9Ca4Hg11, optimized geometry
# energy of formation: -0.45 eV/atom
data_Sr9Ca4Hg11
_space_group_name_H-M_alt 'C m m m'
_space_group_IT_number 65
_space_group_name_Hall '-C 2 2'
_cell_length_a 16.236
_cell_length_b 24.334
_cell_length_c 3.842
_cell_angle_alpha 90.00
_cell_angle_beta 90.00
_cell_angle_gamma 90.00
loop_
_atom_site_label
_atom_site_fract_x
_atom_site_fract_y
_atom_site_fract_z
_atom_site_occupancy
Sr1 0.000 0.000 0.000 1
Sr2 0.119 0.248 0.000 1
Sr3 0.126 0.418 0.000 1
Ca1 0.149 0.100 0.000 1
Hg1 0.000 0.143 0.500 1
Hg2 0.000 0.337 0.500 1
Hg3 0.000 0.500 0.500 1
Hg4 0.213 0.000 0.500 1
Hg5 0.242 0.326 0.500 1

***

# PBE Sr4Ca5Hg3, optimized geometry
# energy of formation: -0.22 eV/atom
data_Sr4Ca5Hg3
_space_group_name_H-M_alt 'C 1 2/m 1'
_space_group_IT_number 12
_cell_length_a 18.649
_cell_length_b 5.946
_cell_length_c 9.028
_cell_angle_alpha 90.00
_cell_angle_beta 112.76
_cell_angle_gamma 90.00
loop_
_space_group_symop_operation_xyz
'x,y,z'
'-x,-y,-z'
'-x,y,-z'
'x,-y,z'
'x+1/2,y+1/2,z'
'-x+1/2,-y+1/2,-z'
'-x+1/2,y+1/2,-z'
'x+1/2,-y+1/2,z'
loop_
_atom_site_label
_atom_site_fract_x
_atom_site_fract_y
_atom_site_fract_z
_atom_site_occupancy
Sr1 0.114 0.000 0.471 1
Sr2 0.184 0.000 0.962 1
Ca1 0.000 0.000 0.000 1
Ca2 0.059 0.500 0.726 1
Ca3 0.169 0.500 0.260 1
Hg1 0.000 0.500 0.000 1
Hg2 0.218 0.500 0.650 1

***

# PBE SrCa2Hg, optimized geometry
# energy of formation: -0.21 eV/atom
data_SrCa2Hg
_space_group_name_H-M_alt 'R -3 m'
_space_group_IT_number 166
_space_group_name_Hall '-R 3 2"'
_cell_length_a 4.1091
_cell_length_b 4.1091
_cell_length_c 32.8826
_cell_angle_alpha 90.00
_cell_angle_beta 90.00
_cell_angle_gamma 120.00
loop_
_atom_site_label
_atom_site_fract_x
_atom_site_fract_y
_atom_site_fract_z
_atom_site_occupancy
Sr1 0.0000 0.0000 0.0000 1
Ca1 0.0000 0.0000 0.2298 1
Hg1 0.0000 0.0000 0.5000 1

***

# PBE SrCaHg, optimized geometry
# energy of formation: -0.30 eV/atom
data_SrCaHg
_space_group_name_H-M_alt 'I m m 2'
_space_group_IT_number 44
_cell_length_a 5.496
_cell_length_b 16.218
_cell_length_c 7.797
_cell_angle_alpha 90.00
_cell_angle_beta 90.00
_cell_angle_gamma 90.00
loop_
_space_group_symop_operation_xyz
'x,y,z'
'-x,-y,z'
'-x,y,z'
'x,-y,z'
'x+1/2,y+1/2,z+1/2'
'-x+1/2,-y+1/2,z+1/2'
'-x+1/2,y+1/2,z+1/2'
'x+1/2,-y+1/2,z+1/2'
loop_
_atom_site_label
_atom_site_fract_x
_atom_site_fract_y
_atom_site_fract_z
_atom_site_occupancy
Sr1 0.000 0.000 0.000 1
Sr2 0.000 0.358 0.127 1
Ca1 0.000 0.000 0.472 1
Ca2 0.000 0.316 0.639 1
Hg1 0.000 0.180 0.346 1
Hg2 0.000 0.500 0.774 1

***

# PBE SrCa2Hg, optimized geometry
# energy of formation: -0.13 eV/atom
data_SrCa2Hg
_space_group_name_H-M_alt 'F -4 3 m'
_space_group_IT_number 216
_space_group_name_Hall 'F -4 2 3'
_cell_length_a 8.211
_cell_length_b 8.211
_cell_length_c 8.211
_cell_angle_alpha 90.00
_cell_angle_beta 90.00
_cell_angle_gamma 90.00
loop_
_atom_site_label
_atom_site_fract_x
_atom_site_fract_y
_atom_site_fract_z
_atom_site_occupancy
Sr1 0.000 0.000 0.000 1
Ca1 0.000 0.000 0.500 1
Ca2 0.250 0.250 0.250 1
Hg1 0.250 0.250 0.750 1

***

# PBE Sr2Ca2Hg3, optimized geometry
# energy of formation: -0.45 eV/atom
data_Sr2Ca2Hg3
_space_group_name_H-M_alt 'R -3 m'
_space_group_IT_number 166
_space_group_name_Hall '-R 3 2"'
_cell_length_a 5.4464
_cell_length_b 5.4464
_cell_length_c 27.3493
_cell_angle_alpha 90.00
_cell_angle_beta 90.00
_cell_angle_gamma 120.00
loop_
_atom_site_label
_atom_site_fract_x
_atom_site_fract_y
_atom_site_fract_z
_atom_site_occupancy
Sr1 0.0000 0.0000 0.1230 1
Ca1 0.0000 0.0000 0.3713 1
Hg1 0.0000 0.0000 0.0000 1
Hg2 0.0000 0.0000 0.2519 1

***

# PBE SrCaHg2, optimized geometry
# energy of formation: -0.53 eV/atom
data_SrCaHg2
_space_group_name_H-M_alt 'F m -3 m'
_space_group_IT_number 225
_space_group_name_Hall '-F 4 2 3'
_cell_length_a 7.810
_cell_length_b 7.810
_cell_length_c 7.810
_cell_angle_alpha 90.00
_cell_angle_beta 90.00
_cell_angle_gamma 90.00
loop_
_atom_site_label
_atom_site_fract_x
_atom_site_fract_y
_atom_site_fract_z
_atom_site_occupancy
Sr1 0.000 0.000 0.000 1
Ca1 0.000 0.000 0.500 1
Hg1 0.250 0.250 0.250 1

***

# PBE Sr3CaHg12, optimized geometry
# energy of formation: -0.39 eV/atom
data_Sr3CaHg12
_space_group_name_H-M_alt 'P 4/m m m'
_space_group_IT_number 123
_space_group_name_Hall '-P 4 2'
_cell_length_a 4.813
_cell_length_b 4.813
_cell_length_c 19.308
_cell_angle_alpha 90.00
_cell_angle_beta 90.00
_cell_angle_gamma 90.00
loop_
_atom_site_label
_atom_site_fract_x
_atom_site_fract_y
_atom_site_fract_z
_atom_site_occupancy
Sr1 0.000 0.000 0.000 1
Sr2 0.000 0.000 0.254 1
Ca1 0.000 0.000 0.500 1
Hg1 0.000 0.500 0.127 1
Hg2 0.000 0.500 0.381 1
Hg3 0.500 0.500 0.000 1
Hg4 0.500 0.500 0.254 1
Hg5 0.500 0.500 0.500 1

***

# PBE Sr5Ca4Hg4, optimized geometry
# energy of formation: -0.36 eV/atom
data_Sr5Ca4Hg4
_space_group_name_H-M_alt 'I 4/m'
_space_group_IT_number 87
_space_group_name_Hall '-I 4'
_cell_length_a 14.473
_cell_length_b 14.473
_cell_length_c 4.618
_cell_angle_alpha 90.00
_cell_angle_beta 90.00
_cell_angle_gamma 90.00
loop_
_atom_site_label
_atom_site_fract_x
_atom_site_fract_y
_atom_site_fract_z
_atom_site_occupancy
Sr1 0.000 0.000 0.000 1
Sr2 0.133 0.192 0.500 1
Ca1 0.087 0.615 0.500 1
Hg1 0.044 0.761 0.000 1